[1]
Density functional theory data (PBE-GGA) for a relaxed CeZr3Sc2N6 crystal.

Geometry as POSCAR:
```
CeZr3Sc2N6
1.0
5.701 -0.006 0.001
-2.854 4.935 0.001
-0.948 -1.642 5.410
N Zr Ce Sc
6 3 1 2
direct
0.571 0.915 0.744
0.740 0.740 0.253
0.915 0.571 0.744
0.085 0.429 0.256
0.260 0.260 0.747
0.429 0.085 0.256
0.831 0.169 0.500
0.500 0.500 0.500
0.169 0.831 0.500
0.000 0.000 0.000
0.667 0.333 0.000
0.333 0.667 0.000
```

## Properties
E = -114.957 eV/cell
Formation energy from raw total energies = -1.730 eV per atom


[2]
Density functional theory data (PBE-GGA) for a relaxed CeZr2Sc3N6 crystal.

Geometry as POSCAR:
```
CeZr2Sc3N6
1.0
3.276 0.000 0.000
0.000 6.574 0.257
-1.638 -1.874 6.914
Ce Sc N Zr
1 3 6 2
direct
0.500 0.000 0.000
0.500 0.500 0.000
0.169 0.831 0.339
0.831 0.169 0.661
0.327 0.911 0.655
0.673 0.089 0.345
0.002 0.266 0.004
0.667 0.586 0.335
0.998 0.734 0.996
0.333 0.414 0.665
0.169 0.340 0.338
0.831 0.660 0.662
```

## Properties
E = -113.017 eV/cell
Formation energy from raw total energies = -1.753 eV per atom


Please write out number 2 again, unchanged.
Density functional theory data (PBE-GGA) for a relaxed CeZr2Sc3N6 crystal.

Geometry as POSCAR:
```
CeZr2Sc3N6
1.0
3.276 0.000 0.000
0.000 6.574 0.257
-1.638 -1.874 6.914
Ce Sc N Zr
1 3 6 2
direct
0.500 0.000 0.000
0.500 0.500 0.000
0.169 0.831 0.339
0.831 0.169 0.661
0.327 0.911 0.655
0.673 0.089 0.345
0.002 0.266 0.004
0.667 0.586 0.335
0.998 0.734 0.996
0.333 0.414 0.665
0.169 0.340 0.338
0.831 0.660 0.662
```

## Properties
E = -113.017 eV/cell
Formation energy from raw total energies = -1.753 eV per atom


What is the formula in the first record? CeZr3Sc2N6


Repeat the second record exactly.
Density functional theory data (PBE-GGA) for a relaxed CeZr2Sc3N6 crystal.

Geometry as POSCAR:
```
CeZr2Sc3N6
1.0
3.276 0.000 0.000
0.000 6.574 0.257
-1.638 -1.874 6.914
Ce Sc N Zr
1 3 6 2
direct
0.500 0.000 0.000
0.500 0.500 0.000
0.169 0.831 0.339
0.831 0.169 0.661
0.327 0.911 0.655
0.673 0.089 0.345
0.002 0.266 0.004
0.667 0.586 0.335
0.998 0.734 0.996
0.333 0.414 0.665
0.169 0.340 0.338
0.831 0.660 0.662
```

## Properties
E = -113.017 eV/cell
Formation energy from raw total energies = -1.753 eV per atom


The lowest E belongs to which entry? CeZr3Sc2N6